1.
Here is crystalline KScIn2I6 at its relaxed geometry from Alexandria. Energies are from PBE.

The space group is R3 (No. 146, hexagonal axes) and the conventional cell measures 8.4664, 8.4664 and 22.0302 Å, with angles of 90.00, 90.00 and 120.00 degrees. The asymmetric unit holds K at (0.0000, 0.0000, 0.0000), Sc at (0.0000, 0.0000, 0.4932), In at (0.0000, 0.0000, 0.2981), In at (0.0000, 0.0000, 0.8075), I at (0.0325, 0.2997, 0.5661) and I at (0.0635, 0.6786, 0.0790).

As for the magnetic moment: 0.000 μB/f.u. The calculation puts the raw total energy at -3.179 eV/atom. The value obtained for the raw formation energy is -0.959 eV/atom.

---

2.
Here is crystalline K2SmInI6 at its relaxed geometry from Alexandria. Energies are from PBE.

The space group is R3 (No. 146, hexagonal axes) and the conventional cell measures 8.6798, 8.6798 and 22.6043 Å, with angles of 90.00, 90.00 and 120.00 degrees. The asymmetric unit holds K at (0.0000, 0.0000, 0.0000), K at (0.0000, 0.0000, 0.4901), Sm at (0.0000, 0.0000, 0.6933), In at (0.0000, 0.0000, 0.2009), I at (0.0154, 0.3936, 0.4353) and I at (0.0618, 0.6926, 0.2756).

As for the magnetic moment: 0.000 μB/f.u. The calculation puts the raw total energy at -3.142 eV/atom. The value obtained for the raw formation energy is -1.247 eV/atom.

---

Repeat the first record exactly.
Here is crystalline KScIn2I6 at its relaxed geometry from Alexandria. Energies are from PBE.

The space group is R3 (No. 146, hexagonal axes) and the conventional cell measures 8.4664, 8.4664 and 22.0302 Å, with angles of 90.00, 90.00 and 120.00 degrees. The asymmetric unit holds K at (0.0000, 0.0000, 0.0000), Sc at (0.0000, 0.0000, 0.4932), In at (0.0000, 0.0000, 0.2981), In at (0.0000, 0.0000, 0.8075), I at (0.0325, 0.2997, 0.5661) and I at (0.0635, 0.6786, 0.0790).

As for the magnetic moment: 0.000 μB/f.u. The calculation puts the raw total energy at -3.179 eV/atom. The value obtained for the raw formation energy is -0.959 eV/atom.

---

Question: What is the formula in the second record?
Answer: K2SmInI6

---

Question: Number 1 is which compound?
Answer: KScIn2I6